This record from OQMD describes crystalline Ta2Re3 at its relaxed geometry. The functional is PBE.

The structure in POSCAR format:
```
Ta2Re3
1.0
9.7778 0.0000 0.0000
0.0000 9.7778 0.0000
0.0000 0.0000 5.1012
Ta Re
12 18
Cartesian
1.0210 1.0210 0.0000
1.8019 7.9759 1.2707
1.8019 7.9759 3.8305
3.0870 3.0870 1.2799
3.0870 3.0870 3.8212
3.8679 5.9099 2.5506
5.9099 3.8679 2.5506
6.6907 6.6907 1.2799
6.6907 6.6907 3.8212
7.9759 1.8019 1.2707
7.9759 1.8019 3.8305
8.7567 8.7567 0.0000
0.0000 0.0000 2.5506
0.3287 3.6432 0.0000
0.6247 2.5450 2.5506
1.2457 5.2175 2.5506
2.3439 5.5136 0.0000
2.5450 0.6247 2.5506
3.6432 0.3287 0.0000
4.2641 7.4339 0.0000
4.5602 8.5321 2.5506
4.8889 4.8889 0.0000
5.2175 1.2457 2.5506
5.5136 2.3439 0.0000
6.1346 9.4491 0.0000
7.2328 9.1530 2.5506
7.4339 4.2641 0.0000
8.5321 4.5602 2.5506
9.1530 7.2328 2.5506
9.4491 6.1346 0.0000
```

Summary:
M_tot: 0.00 μB per formula unit
Electronic total energy: -12.36 eV per atom